[1]
Here is a relaxed structure of MnCo from Alexandria via LeMat-Bulk. Energies are from GGA-PBE.

Cell: 4.302 4.695 9.023 Å, 90.00 90.00 90.00°
Fractional positions:
Mn  0.162  0.033  0.313
Mn  0.176  0.324  0.572
Mn  0.324  0.676  0.072
Mn  0.338  0.967  0.813
Mn  0.662  0.467  0.687
Mn  0.676  0.176  0.428
Mn  0.824  0.824  0.928
Mn  0.838  0.533  0.187
Co  0.160  0.174  0.053
Co  0.167  0.470  0.832
Co  0.333  0.530  0.332
Co  0.340  0.826  0.553
Co  0.660  0.326  0.947
Co  0.667  0.030  0.168
Co  0.833  0.970  0.668
Co  0.840  0.674  0.447

Output
Its energy of formation is 137 meV/atom. The calculation puts the density of states at the Fermi level at 22.8 states/eV per cell.


[2]
Here is a relaxed structure of BPd from Alexandria via LeMat-Bulk. Energies are from GGA-PBE.

Cell: 8.304 6.793 5.169 Å, 86.81 54.76 38.43°
Fractional positions:
B  0.056  0.694  0.056
B  0.306  0.944  0.306
B  0.694  0.056  0.694
B  0.944  0.306  0.944
Pd  0.024  0.024  0.226
Pd  0.226  0.226  0.024
Pd  0.774  0.774  0.976
Pd  0.976  0.976  0.774

Output
Its energy of formation is 236 meV/atom. The calculation puts the density of states at the Fermi level at 2.0 states/eV per cell.


[3]
Here is a relaxed structure of LaPWS2 from Alexandria via LeMat-Bulk. Energies are from GGA-PBE.

Cell: 5.383 5.383 5.532 Å, 90.00 90.00 90.00°
Fractional positions:
La  0.000  0.000  0.000
P  0.000  0.000  0.500
W  0.500  0.500  0.500
S  0.000  0.500  0.000
S  0.500  0.000  0.000

Output
As for the distance to the lowest polymorph of the same formula: 1920 meV/atom. The calculation puts the density of states at the Fermi level at 4.7 states/eV per cell. The calculation puts the energy relative to the elements, uncorrected at 1.19 eV/atom.


[4]
Here is a relaxed structure of NaReBiPd2 from Alexandria via LeMat-Bulk. Energies are from GGA-PBE.

Cell: 5.096 5.096 5.332 Å, 90.00 90.00 90.00°
Fractional positions:
Na  0.000  0.000  0.000
Re  0.500  0.500  0.000
Bi  0.000  0.000  0.500
Pd  0.000  0.500  0.500
Pd  0.500  0.000  0.500

Output
Its energy of formation is 1557 meV/atom. The calculation puts the density of states at the Fermi level at 3.2 states/eV per cell.


[5]
Here is a relaxed structure of MnBH2 from Alexandria via LeMat-Bulk. Energies are from GGA-PBE.

Cell: 3.880 3.880 3.880 Å, 40.82 40.82 40.82°
Fractional positions:
Mn  0.000  0.000  0.000
B  0.500  0.500  0.500
H  0.145  0.145  0.145
H  0.855  0.855  0.855

Output
As for the distance to the lowest polymorph of the same formula: 190 meV/atom. The calculation puts the density of states at the Fermi level at 1.6 states/eV per cell.


[6]
Here is a relaxed structure of TlCd2RuF from Alexandria via LeMat-Bulk. Energies are from GGA-PBE.

Cell: 5.220 5.220 5.213 Å, 90.00 90.00 90.00°
Fractional positions:
Tl  0.000  0.000  0.000
Cd  0.000  0.500  0.500
Cd  0.500  0.000  0.500
Ru  0.000  0.000  0.500
F  0.500  0.500  0.000

Output
As for the distance to the lowest polymorph of the same formula: 0 meV/atom. The calculation puts the density of states at the Fermi level at 5.1 states/eV per cell. The calculation puts the energy relative to the elements, uncorrected at 0.13 eV/atom.


[7]
Here is a relaxed structure of PmTmGePd from Alexandria via LeMat-Bulk. Energies are from GGA-PBE.

Cell: 4.311 5.855 5.855 Å, 39.34 90.00 90.00°
Fractional positions:
Pm  0.000  0.000  0.000
Tm  0.500  0.278  0.278
Ge  0.000  0.726  0.726
Pd  0.500  0.565  0.565

Output
As for the distance to the lowest polymorph of the same formula: 0 meV/atom. Its energy of formation is -856 meV/atom. The calculation puts the density of states at the Fermi level at 1.5 states/eV per cell.


[8]
Here is a relaxed structure of PdPbN2O from Alexandria via LeMat-Bulk. Energies are from GGA-PBE.

Cell: 4.372 4.372 4.303 Å, 90.00 90.00 90.00°
Fractional positions:
Pd  0.000  0.000  0.000
Pb  0.500  0.500  0.500
N  0.000  0.500  0.500
N  0.500  0.000  0.500
O  0.500  0.500  0.000

Output
The calculation puts the density of states at the Fermi level at 2.6 states/eV per cell. The calculation puts the energy relative to the elements, uncorrected at 1.71 eV/atom.